A) Below is a relaxed KMgAlWS6 crystal, with properties calculated at the PBE-GGA level.

Lattice parameters (Å, degrees): 7.0142 7.0142 9.1392 94.49 94.49 92.26
Atoms (fractional coordinates):
K: 0.2320 0.7680 0.0000
K: 0.7680 0.2320 0.0000
Mg: 0.2815 0.2815 0.2414
Mg: 0.7185 0.7185 0.7586
Al: 0.1579 0.8421 0.5000
Al: 0.8421 0.1579 0.5000
W: 0.2608 0.2608 0.7287
W: 0.7392 0.7392 0.2713
S: 0.0408 0.0408 0.3295
S: 0.0482 0.5944 0.3275
S: 0.1988 0.1988 0.9763
S: 0.3459 0.3459 0.5088
S: 0.4056 0.9518 0.6725
S: 0.4812 0.4812 0.8316
S: 0.5188 0.5188 0.1684
S: 0.5944 0.0482 0.3275
S: 0.6541 0.6541 0.4912
S: 0.8012 0.8012 0.0237
S: 0.9518 0.4056 0.6725
S: 0.9592 0.9592 0.6705

Calculated values
Density = 3.5 g/cm3
Volume = 446 Å³ per cell
Symmetry = C2/m, No. 12


B) Below is a relaxed KMgAlWS6 crystal, with properties calculated at the PBE-GGA level.

Lattice parameters (Å, degrees): 6.1386 6.2022 12.0851 90.00 97.10 90.00
Atoms (fractional coordinates):
K: 0.2166 0.0000 0.0164
K: 0.7834 0.5000 0.9836
Mg: 0.2682 0.4695 0.6709
Mg: 0.7318 0.9695 0.3291
Al: 0.2205 0.9567 0.5051
Al: 0.7795 0.4567 0.4949
W: 0.2108 0.4830 0.2473
W: 0.7892 0.9830 0.7527
S: 0.0503 0.1593 0.2313
S: 0.1100 0.1680 0.7738
S: 0.1266 0.3275 0.4847
S: 0.3204 0.5175 0.0803
S: 0.3665 0.8001 0.3598
S: 0.4297 0.8355 0.6625
S: 0.5703 0.3355 0.3375
S: 0.6335 0.3001 0.6402
S: 0.6796 0.0175 0.9197
S: 0.8734 0.8275 0.5153
S: 0.8900 0.6680 0.2262
S: 0.9497 0.6593 0.7687

Calculated values
Density = 3.4 g/cm3
Volume = 457 Å³ per cell
Symmetry = P2_1, No. 4


C) Below is a relaxed KMgAlWS6 crystal, with properties calculated at the PBE-GGA level.

Lattice parameters (Å, degrees): 8.6047 8.6047 8.6047 42.10 42.10 42.10
Atoms (fractional coordinates):
K: 0.0000 0.0000 0.0000
Mg: 0.4857 0.4857 0.4857
Al: 0.8174 0.8174 0.8174
W: 0.1811 0.1811 0.1811
S: 0.0859 0.8120 0.4224
S: 0.2036 0.5640 0.9012
S: 0.4224 0.0859 0.8120
S: 0.5640 0.9012 0.2036
S: 0.8120 0.4224 0.0859
S: 0.9012 0.2036 0.5640

Calculated values
Density = 3.0 g/cm3
Volume = 259 Å³ per cell
Symmetry = R3, No. 146


Of them, C) has the highest stability.